Density functional theory data (PBEsol) for an optimized crystal structure of Li2Ti3VO8.

Cell lengths 5.8288, 5.8288, 5.9201 Å; angles 118.87, 118.87, 60.19 degrees
Last column: nearest neighbours and their distance in Å.
Positions (direct):
Li 0.0000 0.0000 0.0000  6 O 2.13-2.19
Li 0.5000 0.5000 0.0000  6 O 2.16-2.20
Ti 0.0000 0.0000 0.5000  6 O 2.00
Ti 0.0000 0.5000 0.5000  6 O 1.96-1.98
Ti 0.5000 0.0000 0.5000  6 O 1.96-1.98
V 0.5000 0.5000 0.5000  6 O 2.02-2.04
O 0.2319 0.7403 0.7220  2 Ti 1.98-2.00, 1 V 2.04, 2 Li 2.13-2.16
O 0.2382 0.2382 0.7112  3 Ti 1.97-2.00, 1 Li 2.20
O 0.2595 0.2595 0.2892  2 Ti 1.96, 1 V 2.02, 1 Li 2.19
O 0.2597 0.7681 0.2780  2 Ti 1.98-2.00, 1 V 2.04, 2 Li 2.13-2.16
O 0.7403 0.2319 0.7220  2 Ti 1.98-2.00, 1 V 2.04, 2 Li 2.13-2.16
O 0.7405 0.7405 0.7108  2 Ti 1.96, 1 V 2.02, 1 Li 2.19
O 0.7618 0.7618 0.2888  3 Ti 1.97-2.00, 1 Li 2.20
O 0.7681 0.2597 0.2780  2 Ti 1.98-2.00, 1 V 2.04, 2 Li 2.13-2.16

Properties
Calculated density = 3.9 Mg/m³
Energy relative to the lowest polymorph listed for this composition = 93 meV/atom
Fermi-level density of states = 6.159 states/eV/cell
SG = C2/m
Uncorrected formation energy = -37.4 eV/f.u.